# 1
LuTlAg | PBE | optimized geometry

Cell and atoms, written as extended XYZ:
```
6
Lattice="3.6251 0.0000 0.0000 0.0000 3.6251 0.0000 0.0000 0.0000 10.9102" Properties=species:S:1:pos:R:3 pbc="T T T"
Lu 0.0000 0.0000 0.0000
Lu 1.8125 1.8125 5.4551
Tl 0.0000 0.0000 7.4909
Tl 1.8125 1.8125 2.0358
Ag 0.0000 0.0000 3.7876
Ag 1.8125 1.8125 9.2427
```

crystal system: tetragonal
DFT formation energy: -0.141 eV/atom

# 2
LuTl2Ag | PBE | optimized geometry

Cell and atoms, written as extended XYZ:
```
12
Lattice="3.4038 0.0000 0.0000 -1.7019 2.9477 0.0000 0.0000 0.0000 32.9566" Properties=species:S:1:pos:R:3 pbc="T T T"
Lu 0.0000 0.0000 0.0000
Lu 0.0000 1.9652 21.9711
Lu 1.7019 0.9826 10.9855
Tl 0.0000 0.0000 3.1026
Tl 0.0000 0.0000 29.8540
Tl 0.0000 1.9652 18.8685
Tl 0.0000 1.9652 25.0737
Tl 1.7019 0.9826 7.8829
Tl 1.7019 0.9826 14.0882
Ag 0.0000 0.0000 16.4783
Ag 0.0000 1.9652 5.4928
Ag 1.7019 0.9826 27.4638
```

crystal system: trigonal
DFT formation energy: 0.178 eV/atom
ΔE to the lowest computed polymorph: 30.0 kJ/mol of atoms

# 3
LuTlAg | PBE | optimized geometry

Cell and atoms, written as extended XYZ:
```
12
Lattice="6.7626 0.0000 0.0000 0.0000 6.7626 0.0000 0.0000 0.0000 6.7626" Properties=species:S:1:pos:R:3 pbc="T T T"
Lu 0.0000 0.0000 0.0000
Lu 0.0000 3.3813 3.3813
Lu 3.3813 0.0000 3.3813
Lu 3.3813 3.3813 0.0000
Tl 0.0000 0.0000 3.3813
Tl 0.0000 3.3813 0.0000
Tl 3.3813 0.0000 0.0000
Tl 3.3813 3.3813 3.3813
Ag 1.6907 1.6907 5.0720
Ag 1.6907 5.0720 1.6907
Ag 5.0720 1.6907 1.6907
Ag 5.0720 5.0720 5.0720
```

crystal system: cubic
DFT formation energy: -0.121 eV/atom

# 4
LuTl2Ag | PBE | optimized geometry

Cell and atoms, written as extended XYZ:
```
4
Lattice="4.8033 0.0000 0.0000 0.0000 4.8033 0.0000 0.0000 0.0000 4.1825" Properties=species:S:1:pos:R:3 pbc="T T T"
Lu 0.0000 0.0000 0.0000
Tl 0.0000 2.4016 2.0912
Tl 2.4016 0.0000 2.0912
Ag 2.4016 2.4016 0.0000
```

crystal system: tetragonal
DFT formation energy: -0.133 eV/atom
ΔE to the lowest computed polymorph: 0.0 kJ/mol of atoms

Among the records above, which one has the highest DFT formation energy? number 2

The lowest DFT formation energy belongs to which entry? number 1